1.
# K2Ag2SnSe4

K2Ag2SnSe4 after structural relaxation (PBEsol, the Alexandria database).

The uncorrected formation energy is -608 meV/atom. For the mass density, the calculation gives 4.98 Mg/m³. The value obtained for the total magnetic moment is 0.00 Bohr magnetons per cell.

It has space group P2/c (No. 13), with a = 7.4919 Å, b = 5.7862 Å, c = 12.2565 Å, α = 90.00°, β = 113.98° and γ = 90.00°. The inequivalent atoms are K at (0.0000, 0.0000, 0.0000), K at (0.0000, 0.4798, 0.2500), Ag at (0.5003, 0.2497, 0.0246), Sn at (0.5000, 0.2500, 0.7500), Se at (0.2622, 0.0246, 0.8107) and Se at (0.2627, 0.4784, 0.5721).

***

2.
# K3AgSn3Se8

K3AgSn3Se8 after structural relaxation (PBEsol, the Alexandria database).

The uncorrected formation energy is -637 meV/atom. For the mass density, the calculation gives 4.67 Mg/m³. The value obtained for the total magnetic moment is 0.00 Bohr magnetons per cell.

It has space group P4/nbm (No. 125, origin choice 2), with a = 8.0456 Å, b = 8.0456 Å, c = 13.3172 Å, α = 90.00°, β = 90.00° and γ = 90.00°. The inequivalent atoms are K at (0.2500, 0.2500, 0.0000), K at (0.2500, 0.2500, 0.2712), Ag at (0.2500, 0.7500, 0.0000), Sn at (0.2500, 0.7500, 0.2381), Sn at (0.2500, 0.7500, 0.5000), Se at (0.0666, 0.5666, 0.1341) and Se at (0.0810, 0.5810, 0.6268).